w) Here is a geometry-optimized Cr2HPtW structure from the Alexandria database. Energies are from PBE.

Values from the calculation:
The value obtained for the volume is 57.01 Å³ per cell. As for the total magnetic moment: 0.0 μB per formula unit.

```
Cr2HPtW
1.0
-3.060 -1.258 1.939
2.031 -3.000 1.258
1.116 2.052 3.093
H Cr W Pt
1 2 1 1
direct
0.000 0.000 0.000 H
0.500 0.000 0.000 Cr
0.000 0.500 0.000 Cr
0.000 0.000 0.500 W
0.500 0.500 0.500 Pt
```

x) Here is a geometry-optimized Cr2HPtW structure from the Alexandria database. Energies are from PBE.

Values from the calculation:
The value obtained for the volume is 57.17 Å³ per cell. As for the total magnetic moment: 0.7 μB per formula unit.

```
Cr2HPtW
1.0
-0.500 -3.851 -0.223
3.711 -0.542 1.032
-1.023 -0.078 3.637
Cr Pt H W
2 1 1 1
direct
0.000 0.500 0.000 Cr
0.500 0.000 0.000 Cr
0.000 0.000 0.500 Pt
0.000 0.000 0.000 H
0.500 0.500 0.500 W
```

w) is the most stable structure; the next one sits 6.5 kJ/mol of atoms above it.

w) Here is a geometry-optimized CrRe2H structure from the Alexandria database. Energies are from PBE.

Values from the calculation:
The value obtained for the volume is 47.88 Å³ per cell. As for the total magnetic moment: 0.0 μB per formula unit.

```
CrRe2H
1.0
4.017 -0.099 -0.680
1.943 -3.577 -0.215
1.429 -1.331 -3.578
Re Cr H
2 1 1
direct
0.250 0.250 0.250 Re
0.750 0.750 0.750 Re
0.500 0.500 0.500 Cr
0.000 0.000 0.000 H
```

x) Here is a geometry-optimized CrRe2H structure from the Alexandria database. Energies are from PBE.

Values from the calculation:
The value obtained for the volume is 91.48 Å³ per cell. As for the total magnetic moment: 0.0 μB per formula unit.

```
CrRe2H
1.0
5.829 0.000 0.000
0.000 5.829 0.000
2.914 2.914 2.693
Cr Re H
2 4 2
direct
0.000 0.000 0.000 Cr
0.750 0.250 0.500 Cr
0.542 0.125 0.250 Re
0.375 0.458 0.750 Re
0.208 0.625 0.250 Re
0.875 0.792 0.750 Re
0.250 0.750 0.500 H
0.500 0.500 0.000 H
```

x) is the most stable structure; the next one sits 23.8 kJ/mol of atoms above it.

w) Here is a geometry-optimized Cr3ReH structure from the Alexandria database. Energies are from PBE.

Values from the calculation:
The value obtained for the volume is 105.53 Å³ per cell. As for the total magnetic moment: 8.6 μB per formula unit.

```
Cr3ReH
1.0
-1.482 -3.441 2.881
3.063 1.441 3.297
-3.279 2.901 1.778
H Re Cr
1 1 3
direct
0.500 0.500 0.500 H
0.000 0.000 0.000 Re
0.500 0.000 0.000 Cr
0.000 0.000 0.500 Cr
0.000 0.500 0.000 Cr
```

x) Here is a geometry-optimized Cr3ReH structure from the Alexandria database. Energies are from PBE.

Values from the calculation:
The value obtained for the volume is 52.35 Å³ per cell. As for the total magnetic moment: 0.0 μB per formula unit.

```
Cr3ReH
1.0
-2.258 -0.923 -2.836
-0.023 -3.552 1.174
-2.983 0.726 2.138
Cr Re H
3 1 1
direct
0.000 0.500 0.000 Cr
0.000 0.000 0.500 Cr
0.500 0.000 0.000 Cr
0.500 0.500 0.500 Re
0.000 0.000 0.000 H
```

x) is the most stable structure; the next one sits 166.1 kJ/mol of atoms above it.

w) Here is a geometry-optimized Cr2ReH structure from the Alexandria database. Energies are from PBE.

Values from the calculation:
The value obtained for the volume is 47.36 Å³ per cell. As for the total magnetic moment: 2.9 μB per formula unit.

```
Cr2ReH
1.0
0.000 2.872 2.872
2.872 0.000 2.872
2.872 2.872 0.000
Cr H Re
2 1 1
direct
0.750 0.750 0.750 Cr
0.250 0.250 0.250 Cr
0.000 0.000 0.000 H
0.500 0.500 0.500 Re
```

x) Here is a geometry-optimized Cr2ReH structure from the Alexandria database. Energies are from PBE.

Values from the calculation:
The value obtained for the volume is 84.61 Å³ per cell. As for the total magnetic moment: 0.0 μB per formula unit.

```
Cr2ReH
1.0
4.932 0.000 0.000
0.000 4.932 0.000
2.466 2.466 3.478
Re Cr H
2 4 2
direct
0.000 0.000 0.000 Re
0.750 0.250 0.500 Re
0.376 0.125 0.250 Cr
0.375 0.624 0.750 Cr
0.875 0.626 0.750 Cr
0.374 0.625 0.250 Cr
0.250 0.750 0.500 H
0.500 0.500 0.000 H
```

x) is the most stable structure; the next one sits 35.8 kJ/mol of atoms above it.

w) Here is a geometry-optimized CrReHRh2 structure from the Alexandria database. Energies are from PBE.

Values from the calculation:
The value obtained for the volume is 56.93 Å³ per cell. As for the total magnetic moment: 0.0 μB per formula unit.

```
CrReHRh2
1.0
3.793 0.000 0.000
0.000 3.793 0.000
0.000 0.000 3.958
H Cr Rh Re
1 1 2 1
direct
0.000 0.000 0.000 H
0.000 0.000 0.500 Cr
0.000 0.500 0.000 Rh
0.500 0.000 0.000 Rh
0.500 0.500 0.500 Re
```

x) Here is a geometry-optimized CrReHRh2 structure from the Alexandria database. Energies are from PBE.

Values from the calculation:
The value obtained for the volume is 58.16 Å³ per cell. As for the total magnetic moment: 0.7 μB per formula unit.

```
CrReHRh2
1.0
-1.160 2.863 2.252
2.157 -1.365 2.846
3.055 2.221 -1.251
Cr Re Rh H
1 1 2 1
direct
0.500 0.500 0.500 Cr
0.000 0.000 0.500 Re
0.000 0.500 0.000 Rh
0.500 0.000 0.000 Rh
0.000 0.000 0.000 H
```

w) is the most stable structure; the next one sits 1.8 kJ/mol of atoms above it.

w) Here is a geometry-optimized CrRe2HRu structure from the Alexandria database. Energies are from PBE.

Values from the calculation:
The value obtained for the volume is 58.43 Å³ per cell. As for the total magnetic moment: 0.0 μB per formula unit.

```
CrRe2HRu
1.0
3.893 0.000 0.000
0.000 3.856 0.000
0.000 0.000 3.893
Ru Re Cr H
1 2 1 1
direct
0.000 0.500 0.000 Ru
0.000 0.000 0.500 Re
0.500 0.000 0.000 Re
0.500 0.500 0.500 Cr
0.000 0.000 0.000 H
```

x) Here is a geometry-optimized CrRe2HRu structure from the Alexandria database. Energies are from PBE.

Values from the calculation:
The value obtained for the volume is 58.20 Å³ per cell. As for the total magnetic moment: 0.7 μB per formula unit.

```
CrRe2HRu
1.0
-3.150 -2.183 0.696
-0.523 -0.467 -3.832
2.196 -3.143 0.083
Re Cr Ru H
2 1 1 1
direct
0.500 0.000 0.000 Re
0.000 0.500 0.000 Re
0.000 0.000 0.500 Cr
0.500 0.500 0.500 Ru
0.000 0.000 0.000 H
```

x) is the most stable structure; the next one sits 4.0 kJ/mol of atoms above it.

w) Here is a geometry-optimized Ta2CrReH structure from the Alexandria database. Energies are from PBE.

Values from the calculation:
The value obtained for the volume is 65.10 Å³ per cell. As for the total magnetic moment: 0.0 μB per formula unit.

```
Ta2CrReH
1.0
4.471 0.000 0.000
0.000 4.471 0.000
0.000 0.000 3.256
Ta Re Cr H
2 1 1 1
direct
0.000 0.500 0.000 Ta
0.500 0.000 0.000 Ta
0.500 0.500 0.500 Re
0.000 0.000 0.500 Cr
0.000 0.000 0.000 H
```

x) Here is a geometry-optimized Ta2CrReH structure from the Alexandria database. Energies are from PBE.

Values from the calculation:
The value obtained for the volume is 66.60 Å³ per cell. As for the total magnetic moment: 0.0 μB per formula unit.

```
Ta2CrReH
1.0
4.394 0.000 0.000
0.000 4.394 0.000
0.000 0.000 3.449
Ta H Cr Re
2 1 1 1
direct
0.000 0.500 0.000 Ta
0.500 0.000 0.000 Ta
0.000 0.000 0.000 H
0.500 0.500 0.500 Cr
0.000 0.000 0.500 Re
```

w) is the most stable structure; the next one sits 19.2 kJ/mol of atoms above it.

w) Here is a geometry-optimized Cr2ReTcH structure from the Alexandria database. Energies are from PBE.

Values from the calculation:
The value obtained for the volume is 55.56 Å³ per cell. As for the total magnetic moment: 0.0 μB per formula unit.

```
Cr2ReTcH
1.0
-1.608 -1.254 3.211
1.609 -3.406 -0.525
3.078 1.147 1.990
Cr Tc H Re
2 1 1 1
direct
0.000 0.500 0.000 Cr
0.500 0.000 0.000 Cr
0.500 0.500 0.500 Tc
0.000 0.000 0.000 H
0.000 0.000 0.500 Re
```

x) Here is a geometry-optimized Cr2ReTcH structure from the Alexandria database. Energies are from PBE.

Values from the calculation:
The value obtained for the volume is 55.38 Å³ per cell. As for the total magnetic moment: 0.0 μB per formula unit.

```
Cr2ReTcH
1.0
-3.292 -1.892 -0.294
1.898 -3.302 -0.010
-0.251 -0.156 3.807
H Cr Tc Re
1 2 1 1
direct
0.000 0.000 0.000 H
0.000 0.500 0.000 Cr
0.500 0.000 0.000 Cr
0.000 0.000 0.500 Tc
0.500 0.500 0.500 Re
```

x) is the most stable structure; the next one sits 2.9 kJ/mol of atoms above it.